{"formula": "Li2Al3Zn2", "functional": "PBE-GGA", "state": "relaxed", "ef_mev_per_atom": -108, "m_tot_mub_per_cell": 0.00, "volume_a3_per_cell": 219, "space_group": "C2/m", "polymorph_energy_mev_per_atom": 0, "lattice_angstrom": [[9.012, 0.000, 0.000], [0.000, 3.995, 0.000], [-1.101, 0.000, 6.068]], "species": ["Li", "Li", "Li", "Li", "Al", "Al", "Al", "Al", "Al", "Al", "Zn", "Zn", "Zn", "Zn"], "fractional_positions": [[0.068, 0.000, 0.214], [0.432, 0.500, 0.786], [0.568, 0.500, 0.214], [0.932, 0.000, 0.786], [0.000, 0.500, 0.500], [0.215, 0.000, 0.648], [0.285, 0.500, 0.352], [0.500, 0.000, 0.500], [0.715, 0.500, 0.648], [0.785, 0.000, 0.352], [0.145, 0.500, 0.930], [0.355, 0.000, 0.070], [0.645, 0.000, 0.930], [0.855, 0.500, 0.070]]}

{"formula": "LiAl7Zn12", "functional": "PBE-GGA", "state": "relaxed", "ef_mev_per_atom": 262, "m_tot_mub_per_cell": 0.00, "volume_a3_per_cell": 421, "space_group": "Im-3", "lattice_angstrom": [[-4.722, 4.722, 4.722], [4.722, -4.722, 4.722], [4.722, 4.722, -4.722]], "species": ["Li", "Al", "Al", "Al", "Al", "Al", "Al", "Al", "Zn", "Zn", "Zn", "Zn", "Zn", "Zn", "Zn", "Zn", "Zn", "Zn", "Zn", "Zn"], "fractional_positions": [[0.000, 0.000, 0.000], [0.000, 0.000, 0.500], [0.000, 0.500, 0.000], [0.000, 0.500, 0.500], [0.500, 0.000, 0.000], [0.500, 0.000, 0.500], [0.500, 0.500, 0.000], [0.500, 0.500, 0.500], [0.102, 0.357, 0.745], [0.255, 0.611, 0.357], [0.255, 0.898, 0.643], [0.357, 0.255, 0.611], [0.357, 0.745, 0.102], [0.389, 0.643, 0.745], [0.611, 0.357, 0.255], [0.643, 0.255, 0.898], [0.643, 0.745, 0.389], [0.745, 0.102, 0.357], [0.745, 0.389, 0.643], [0.898, 0.643, 0.255]]}

{"formula": "Li2Al2Zn3", "functional": "PBE-GGA", "state": "relaxed", "ef_mev_per_atom": -78, "m_tot_mub_per_cell": 0.00, "volume_a3_per_cell": 218, "space_group": "C2/m", "polymorph_energy_mev_per_atom": 30, "lattice_angstrom": [[12.016, 0.000, 0.000], [0.000, 2.888, 0.000], [-2.737, 0.000, 6.280]], "species": ["Li", "Li", "Li", "Li", "Al", "Al", "Al", "Al", "Zn", "Zn", "Zn", "Zn", "Zn", "Zn"], "fractional_positions": [[0.138, 0.000, 0.421], [0.362, 0.500, 0.579], [0.638, 0.500, 0.421], [0.862, 0.000, 0.579], [0.078, 0.500, 0.720], [0.422, 0.000, 0.280], [0.578, 0.000, 0.720], [0.922, 0.500, 0.280], [0.000, 0.000, 0.000], [0.215, 0.500, 0.149], [0.285, 0.000, 0.851], [0.500, 0.500, 0.000], [0.715, 0.000, 0.149], [0.785, 0.500, 0.851]]}

{"formula": "LiAl2Zn2", "functional": "PBE-GGA", "state": "relaxed", "ef_mev_per_atom": -15, "m_tot_mub_per_cell": 0.00, "volume_a3_per_cell": 182, "space_group": "I4/mmm", "polymorph_energy_mev_per_atom": 51, "lattice_angstrom": [[3.883, 0.000, 0.000], [0.000, 3.883, 0.000], [0.000, 0.000, 12.049]], "species": ["Li", "Li", "Al", "Al", "Al", "Al", "Zn", "Zn", "Zn", "Zn"], "fractional_positions": [[0.000, 0.000, 0.000], [0.500, 0.500, 0.500], [0.000, 0.500, 0.250], [0.000, 0.500, 0.750], [0.500, 0.000, 0.250], [0.500, 0.000, 0.750], [0.000, 0.000, 0.399], [0.000, 0.000, 0.601], [0.500, 0.500, 0.101], [0.500, 0.500, 0.899]]}

{"formula": "Li3Al2Zn3", "functional": "PBE-GGA", "state": "relaxed", "ef_mev_per_atom": -115, "m_tot_mub_per_cell": 0.00, "volume_a3_per_cell": 240, "space_group": "Immm", "lattice_angstrom": [[4.401, 0.000, 0.000], [0.000, 4.467, 0.000], [0.000, 0.000, 12.186]], "species": ["Li", "Li", "Li", "Li", "Li", "Li", "Al", "Al", "Al", "Al", "Zn", "Zn", "Zn", "Zn", "Zn", "Zn"], "fractional_positions": [[0.000, 0.000, 0.000], [0.000, 0.500, 0.378], [0.000, 0.500, 0.622], [0.500, 0.000, 0.122], [0.500, 0.000, 0.878], [0.500, 0.500, 0.500], [0.000, 0.000, 0.251], [0.000, 0.000, 0.749], [0.500, 0.500, 0.249], [0.500, 0.500, 0.751], [0.000, 0.000, 0.500], [0.000, 0.500, 0.124], [0.000, 0.500, 0.876], [0.500, 0.000, 0.376], [0.500, 0.000, 0.624], [0.500, 0.500, 0.000]]}

{"formula": "Li3AlZn", "functional": "PBE-GGA", "state": "relaxed", "ef_mev_per_atom": -182, "m_tot_mub_per_cell": 0.00, "volume_a3_per_cell": 157, "space_group": "P2_1/m", "polymorph_energy_mev_per_atom": 0, "lattice_angstrom": [[5.292, 0.000, 0.000], [0.000, 4.431, 0.000], [-1.586, 0.000, 6.718]], "species": ["Li", "Li", "Li", "Li", "Li", "Li", "Al", "Al", "Zn", "Zn"], "fractional_positions": [[0.055, 0.250, 0.339], [0.239, 0.250, 0.740], [0.442, 0.250, 0.147], [0.558, 0.750, 0.853], [0.761, 0.750, 0.260], [0.945, 0.750, 0.661], [0.356, 0.750, 0.443], [0.644, 0.250, 0.557], [0.130, 0.750, 0.056], [0.870, 0.250, 0.944]]}

{"formula": "LiAlZn2", "functional": "PBE-GGA", "state": "relaxed", "ef_mev_per_atom": -109, "m_tot_mub_per_cell": 0.00, "volume_a3_per_cell": 61, "space_group": "P1", "lattice_angstrom": [[3.939, 0.000, 0.000], [-0.008, 3.939, 0.000], [-1.930, -1.947, 3.926]], "species": ["Li", "Al", "Zn", "Zn"], "fractional_positions": [[0.000, 0.000, 0.000], [0.748, 0.251, 0.500], [0.250, 0.750, 0.500], [0.499, 0.501, 0.000]]}

{"formula": "LiAlZn6", "functional": "PBE-GGA", "state": "relaxed", "ef_mev_per_atom": -59, "m_tot_mub_per_cell": 0.00, "volume_a3_per_cell": 241, "space_group": "Amm2", "polymorph_energy_mev_per_atom": 0, "lattice_angstrom": [[4.498, 0.000, 0.000], [0.000, 5.784, 0.000], [0.000, 0.000, 9.245]], "species": ["Li", "Li", "Al", "Al", "Zn", "Zn", "Zn", "Zn", "Zn", "Zn", "Zn", "Zn", "Zn", "Zn", "Zn", "Zn"], "fractional_positions": [[0.000, 0.000, 0.000], [0.000, 0.500, 0.500], [0.500, 0.000, 0.679], [0.500, 0.500, 0.179], [0.000, 0.000, 0.508], [0.000, 0.239, 0.255], [0.000, 0.261, 0.755], [0.000, 0.500, 0.008], [0.000, 0.739, 0.755], [0.000, 0.761, 0.255], [0.500, 0.000, 0.169], [0.500, 0.250, 0.426], [0.500, 0.250, 0.926], [0.500, 0.500, 0.669], [0.500, 0.750, 0.426], [0.500, 0.750, 0.926]]}

{"formula": "Li7AlZn2", "functional": "PBE-GGA", "state": "relaxed", "ef_mev_per_atom": 182, "m_tot_mub_per_cell": 0.00, "volume_a3_per_cell": 218, "space_group": "Cmmm", "lattice_angstrom": [[3.630, -6.679, 0.000], [3.630, 6.679, 0.000], [0.000, 0.000, 4.503]], "species": ["Li", "Li", "Li", "Li", "Li", "Li", "Li", "Al", "Zn", "Zn"], "fractional_positions": [[0.000, 0.000, 0.000], [0.210, 0.433, 0.000], [0.288, 0.712, 0.500], [0.433, 0.210, 0.000], [0.567, 0.790, 0.000], [0.712, 0.288, 0.500], [0.790, 0.567, 0.000], [0.500, 0.500, 0.500], [0.201, 0.799, 0.000], [0.799, 0.201, 0.000]]}

{"formula": "LiAl2Zn3", "functional": "PBE-GGA", "state": "relaxed", "ef_mev_per_atom": 1, "m_tot_mub_per_cell": 0.00, "volume_a3_per_cell": 197, "space_group": "Cmcm", "polymorph_energy_mev_per_atom": 37, "lattice_angstrom": [[3.987, -4.675, 0.000], [3.987, 4.675, 0.000], [0.000, 0.000, 5.284]], "species": ["Li", "Li", "Al", "Al", "Al", "Al", "Zn", "Zn", "Zn", "Zn", "Zn", "Zn"], "fractional_positions": [[0.224, 0.776, 0.750], [0.776, 0.224, 0.250], [0.192, 0.192, 0.000], [0.192, 0.192, 0.500], [0.808, 0.808, 0.000], [0.808, 0.808, 0.500], [0.079, 0.579, 0.250], [0.421, 0.921, 0.250], [0.482, 0.518, 0.250], [0.518, 0.482, 0.750], [0.579, 0.079, 0.750], [0.921, 0.421, 0.750]]}

{"formula": "Li5Al2Zn", "functional": "PBE-GGA", "state": "relaxed", "ef_mev_per_atom": -114, "m_tot_mub_per_cell": 0.00, "volume_a3_per_cell": 252, "space_group": "I4/mmm", "lattice_angstrom": [[4.338, 0.000, 0.000], [0.000, 4.338, 0.000], [0.000, 0.000, 13.387]], "species": ["Li", "Li", "Li", "Li", "Li", "Li", "Li", "Li", "Li", "Li", "Al", "Al", "Al", "Al", "Zn", "Zn"], "fractional_positions": [[0.000, 0.000, 0.000], [0.000, 0.500, 0.124], [0.000, 0.500, 0.376], [0.000, 0.500, 0.624], [0.000, 0.500, 0.876], [0.500, 0.000, 0.124], [0.500, 0.000, 0.376], [0.500, 0.000, 0.624], [0.500, 0.000, 0.876], [0.500, 0.500, 0.500], [0.000, 0.000, 0.250], [0.000, 0.000, 0.750], [0.500, 0.500, 0.250], [0.500, 0.500, 0.750], [0.000, 0.000, 0.500], [0.500, 0.500, 0.000]]}

{"formula": "LiAlZn2", "functional": "PBE-GGA", "state": "relaxed", "ef_mev_per_atom": -52, "m_tot_mub_per_cell": 0.00, "volume_a3_per_cell": 188, "space_group": "R3m", "lattice_angstrom": [[2.841, 0.000, 0.000], [-1.421, 2.460, 0.000], [0.000, 0.000, 26.947]], "species": ["Li", "Li", "Li", "Al", "Al", "Al", "Zn", "Zn", "Zn", "Zn", "Zn", "Zn"], "fractional_positions": [[0.000, 0.000, 0.000], [0.333, 0.667, 0.667], [0.667, 0.333, 0.333], [0.000, 0.000, 0.249], [0.333, 0.667, 0.915], [0.667, 0.333, 0.582], [0.000, 0.000, 0.502], [0.000, 0.000, 0.750], [0.333, 0.667, 0.169], [0.333, 0.667, 0.416], [0.667, 0.333, 0.083], [0.667, 0.333, 0.835]]}